Below is a geometry-optimized BaSb2IN structure, with properties calculated at the PBE level.

Lattice parameters (Å, degrees): 4.940 4.940 5.498 90.00 90.00 90.00
Space group P4/mmm (No. 123)
Inequivalent atoms, fractional coordinates:
1 Ba 0.000 0.000 0.000 x1
2 Sb 0.000 0.500 0.500 x2
3 I 0.500 0.500 0.000 x1
4 N 0.500 0.500 0.500 x1

The volume comes out at 134 Å³ per cell. For the total energy, the calculation gives -3.87 eV/atom. The energy relative to the elements, uncorrected is 0.1361 eV per atom. For the polymorph energy (0 for the lowest one), the calculation gives 0 meV per atom. The calculated density is 6.46 g/cm3.

---

Below is a geometry-optimized Pr6DyHo structure, with properties calculated at the PBE level.

Lattice parameters (Å, degrees): 5.187 5.187 10.367 90.00 90.00 90.00
Space group P4/mmm (No. 123)
Inequivalent atoms, fractional coordinates:
1 Pr 0.000 0.000 0.000 x1
2 Pr 0.000 0.000 0.500 x1
3 Pr 0.000 0.500 0.250 x4
4 Dy 0.500 0.500 0.000 x1
5 Ho 0.500 0.500 0.500 x1

The volume comes out at 279 Å³ per cell. For the total energy, the calculation gives -4.72 eV/atom. For the polymorph energy (0 for the lowest one), the calculation gives 0 meV per atom. As for the formation energy: 0.014 eV/atom. The calculated density is 6.98 g/cm3.

---

Below is a geometry-optimized K2Te2Pb2S structure, with properties calculated at the PBE level.

Lattice parameters (Å, degrees): 16.145 4.760 8.214 90.00 118.21 90.00
Space group C2/m (No. 12)
Inequivalent atoms, fractional coordinates:
1 K 0.031 0.000 0.268 x4
2 Te 0.157 0.500 0.112 x4
3 Pb 0.191 0.500 0.772 x4
4 S 0.000 0.500 0.500 x2

The volume comes out at 556 Å³ per cell. For the total energy, the calculation gives -3.53 eV/atom. The energy relative to the elements, uncorrected is -0.6729 eV per atom. The calculated density is 4.66 g/cm3.

---

Below is a geometry-optimized BaMnIr2 structure, with properties calculated at the PBE level.

Lattice parameters (Å, degrees): 6.743 6.743 6.743 90.00 90.00 90.00
Space group Fm-3m (No. 225)
Inequivalent atoms, fractional coordinates:
1 Ba 0.000 0.000 0.000 x4
2 Mn 0.000 0.000 0.500 x4
3 Ir 0.250 0.250 0.250 x8

The volume comes out at 307 Å³ per cell. For the total energy, the calculation gives -5.99 eV/atom. For the polymorph energy (0 for the lowest one), the calculation gives 1261 meV per atom. As for the formation energy: 1.218 eV/atom. The calculated density is 12.50 g/cm3.

---

Below is a geometry-optimized AlCu2Ni structure, with properties calculated at the PBE level.

Lattice parameters (Å, degrees): 3.451 3.451 17.724 90.00 90.00 90.00
Space group I-42d (No. 122)
Inequivalent atoms, fractional coordinates:
1 Al 0.000 0.000 0.000 x4
2 Cu 0.245 0.250 0.625 x8
3 Ni 0.000 0.000 0.500 x4

The volume comes out at 211 Å³ per cell. For the total energy, the calculation gives -4.40 eV/atom. As for the formation energy: 0.030 eV/atom. The calculated density is 6.69 g/cm3.

---

Below is a geometry-optimized TbDy2Ho2Sc structure, with properties calculated at the PBE level.

Lattice parameters (Å, degrees): 6.511 17.237 3.312 90.00 90.00 90.00
Space group Pnnm (No. 58)
Inequivalent atoms, fractional coordinates:
1 Tb 0.000 0.000 0.000 x2
2 Dy 0.247 0.320 0.000 x4
3 Ho 0.246 0.147 0.500 x4
4 Sc 0.000 0.500 0.000 x2

The volume comes out at 372 Å³ per cell. For the total energy, the calculation gives -4.61 eV/atom. As for the formation energy: 0.279 eV/atom. The calculated density is 7.67 g/cm3.

---

Below is a geometry-optimized Ac2Th4Ge3N2 structure, with properties calculated at the PBE level.

Lattice parameters (Å, degrees): 4.810 4.810 25.440 90.00 90.00 90.00
Space group I4/mmm (No. 139)
Inequivalent atoms, fractional coordinates:
1 Ac 0.000 0.000 0.198 x4
2 Th 0.000 0.500 0.078 x8
3 Ge 0.000 0.000 0.333 x4
4 Ge 0.000 0.000 0.500 x2
5 N 0.000 0.000 0.095 x4

The volume comes out at 589 Å³ per cell. For the total energy, the calculation gives -7.16 eV/atom. The energy relative to the elements, uncorrected is -0.9376 eV per atom. The calculated density is 9.19 g/cm3.

---

Below is a geometry-optimized RbSiB structure, with properties calculated at the PBE level.

Lattice parameters (Å, degrees): 4.5865 4.5865 6.4303 90.00 90.00 120.00
Space group P6_3mc (No. 186)
Inequivalent atoms, fractional coordinates:
1 Rb 0.0000 0.0000 0.0000 x2
2 Si 0.3333 0.6667 0.2016 x2
3 B 0.3333 0.6667 0.8321 x2

The volume comes out at 117 Å³ per cell. For the total energy, the calculation gives -3.07 eV/atom. The energy relative to the elements, uncorrected is 1.2850 eV per atom. The calculated density is 3.53 g/cm3.